Below is DyRhAu4 after structural relaxation, with properties calculated at the PBE level.

Computed properties:
* symmetry: F-43m (216)
* total moment: 0.00 μB/f.u.
* crystal system: cubic
* V: 115.8 Å³ per cell
* calculated density: 15.11 g/cm3
* VASP energy: -26.906 eV/cell
* formation enthalpy at 0 K: -0.307 eV per atom

Cell lengths 5.4704, 5.4704, 5.4704 Å; angles 60.00, 60.00, 60.00 degrees
Sites, in units of the cell vectors:
1 Dy 0.0000 0.0000 0.0000
2 Au 0.6246 0.6246 0.6246
3 Au 0.6246 0.6246 0.1262
4 Au 0.1262 0.6246 0.6246
5 Au 0.6246 0.1262 0.6246
6 Rh 0.2500 0.2500 0.2500

Below is Sc5AgIr4 after structural relaxation, with properties calculated at the PBE level.

Computed properties:
* symmetry: P4/mmm (123)
* total moment: 0.00 μB/f.u.
* crystal system: tetragonal
* V: 175.5 Å³ per cell
* calculated density: 10.42 g/cm3
* VASP energy: -78.786 eV/cell
* formation enthalpy at 0 K: -0.883 eV per atom

Cell lengths 3.1867, 3.1867, 17.2802 Å; angles 90.00, 90.00, 90.00 degrees
Sites, in units of the cell vectors:
1 Sc 0.5000 0.5000 0.1175
2 Sc 0.5000 0.5000 0.5000
3 Sc 0.5000 0.5000 0.6913
4 Sc 0.5000 0.5000 0.8825
5 Sc 0.5000 0.5000 0.3087
6 Ir 0.0000 0.0000 0.2099
7 Ir 0.0000 0.0000 0.5960
8 Ir 0.0000 0.0000 0.4040
9 Ir 0.0000 0.0000 0.7901
10 Ag 0.0000 0.0000 0.0000

Below is Ni2AsW after structural relaxation, with properties calculated at the PBE level.

Computed properties:
* symmetry: R3m (160)
* total moment: 0.01 μB/f.u.
* crystal system: trigonal
* V: 55.1 Å³ per cell
* calculated density: 11.34 g/cm3
* VASP energy: -28.099 eV/cell
* formation enthalpy at 0 K: 0.266 eV per atom

Cell lengths 8.1513, 8.1513, 8.1513 Å; angles 19.94, 19.94, 19.94 degrees
Sites, in units of the cell vectors:
1 As 0.7429 0.7429 0.7429
2 Ni 0.2528 0.2528 0.2528
3 Ni 0.0017 0.0017 0.0017
4 W 0.5026 0.5026 0.5026

Below is Ag2PtW after structural relaxation, with properties calculated at the PBE level.

Computed properties:
* symmetry: P4/mmm (123)
* total moment: 0.00 μB/f.u.
* polymorph energy (0 for the lowest one): 606 meV/atom
* crystal system: tetragonal
* V: 67.4 Å³ per cell
* calculated density: 14.65 g/cm3
* VASP energy: -21.810 eV/cell
* formation enthalpy at 0 K: 0.722 eV per atom

Cell lengths 4.9053, 4.9053, 2.8022 Å; angles 90.00, 90.00, 90.00 degrees
Sites, in units of the cell vectors:
1 W 0.0000 0.5000 0.5000
2 Pt 0.5000 0.0000 0.5000
3 Ag 0.5000 0.5000 0.0000
4 Ag 0.0000 0.0000 0.0000

Below is KSr3 after structural relaxation, with properties calculated at the PBE level.

Computed properties:
* symmetry: P6_3/mmc (194)
* total moment: 0.01 μB/f.u.
* polymorph energy (0 for the lowest one): 48 meV/atom
* crystal system: hexagonal
* V: 467.4 Å³ per cell
* calculated density: 2.15 g/cm3
* VASP energy: -11.534 eV/cell
* formation enthalpy at 0 K: 0.094 eV per atom

Cell lengths 8.7226, 8.7226, 7.0943 Å; angles 90.00, 90.00, 120.00 degrees
Sites, in units of the cell vectors:
1 K 0.6667 0.3333 0.7500
2 K 0.3333 0.6667 0.2500
3 Sr 0.3260 0.1630 0.2500
4 Sr 0.8370 0.6740 0.2500
5 Sr 0.8370 0.1630 0.2500
6 Sr 0.1630 0.8370 0.7500
7 Sr 0.6740 0.8370 0.7500
8 Sr 0.1630 0.3260 0.7500

Below is BaZrGa2H after structural relaxation, with properties calculated at the PBE level.

Computed properties:
* symmetry: P4/mmm (123)
* total moment: 1.40 μB/f.u.
* crystal system: tetragonal
* V: 179.9 Å³ per cell
* calculated density: 3.41 g/cm3
* VASP energy: -16.056 eV/cell

Cell lengths 5.1559, 6.7681, 5.1559 Å; angles 90.00, 90.00, 90.00 degrees
Last column: magnetic moment on the atom in μB.
Sites, in units of the cell vectors:
1 Ba 0.0000 0.5000 0.0000  0.11
2 Ga 0.5000 0.0000 0.0000  0.06
3 Ga 0.0000 0.0000 0.5000  0.03
4 Zr 0.0000 0.0000 0.0000  0.51
5 H 0.5000 0.5000 0.5000  0.07

Below is Rb4TlCd3F12 after structural relaxation, with properties calculated at the PBE level.

Computed properties:
* symmetry: Im-3m (229)
* total moment: 0.00 μB/f.u.
* crystal system: cubic
* V: 379.7 Å³ per cell
* calculated density: 4.86 g/cm3
* uncorrected formation energy: -228 kJ per mole of atoms
* VASP energy: -78.739 eV/cell

Cell lengths 7.9010, 7.9010, 7.9010 Å; angles 109.47, 109.47, 109.47 degrees
Sites, in units of the cell vectors:
1 Cd 0.5000 0.5000 0.0000
2 Cd 0.5000 0.0000 0.5000
3 Cd 0.0000 0.5000 0.5000
4 F 0.0000 0.7426 0.7426
5 F 0.7426 0.0000 0.7426
6 F 0.0000 0.2574 0.2574
7 F 0.7500 0.2500 0.5000
8 F 0.2500 0.7500 0.5000
9 F 0.7426 0.7426 0.0000
10 F 0.2500 0.5000 0.7500
11 F 0.2574 0.0000 0.2574
12 F 0.5000 0.7500 0.2500
13 F 0.5000 0.2500 0.7500
14 F 0.2574 0.2574 0.0000
15 F 0.7500 0.5000 0.2500
16 Tl 0.0000 0.0000 0.0000
17 Rb 0.0000 0.0000 0.5000
18 Rb 0.5000 0.5000 0.5000
19 Rb 0.5000 0.0000 0.0000
20 Rb 0.0000 0.5000 0.0000

Below is NbVW after structural relaxation, with properties calculated at the PBE level.

Computed properties:
* symmetry: Cmme (67)
* total moment: 0.00 μB/f.u.
* polymorph energy (0 for the lowest one): 0 meV/atom
* crystal system: orthorhombic
* V: 95.7 Å³ per cell
* calculated density: 11.37 g/cm3
* VASP energy: -64.405 eV/cell
* formation enthalpy at 0 K: -0.020 eV per atom

Cell lengths 2.7583, 2.7584, 13.3197 Å; angles 90.00, 90.00, 70.77 degrees
Sites, in units of the cell vectors:
1 V 0.3179 0.3179 0.8250
2 V 0.8180 0.8180 0.6777
3 Nb 0.8179 0.8179 0.3446
4 Nb 0.3178 0.3178 0.1581
5 W 0.3180 0.3180 0.5202
6 W 0.8178 0.8178 0.9826

Below is V2CoNi7Ge2 after structural relaxation, with properties calculated at the PBE level.

Computed properties:
* symmetry: Cmmm (65)
* total moment: 3.13 μB/f.u.
* crystal system: orthorhombic
* V: 145.7 Å³ per cell
* calculated density: 8.17 g/cm3
* VASP energy: -75.896 eV/cell
* formation enthalpy at 0 K: -0.071 eV per atom

Cell lengths 3.5728, 3.5728, 12.4840 Å; angles 73.34, 73.34, 89.92 degrees
Last column: magnetic moment on the atom in μB.
Sites, in units of the cell vectors:
1 Ni 0.7458 0.7458 0.4999  -0.03
2 Ni 0.2542 0.2542 0.5001  -0.03
3 Ni 0.3475 0.8475 0.1527  0.32
4 Ni 0.5000 0.5000 0.0000  0.54
5 Ni 0.6525 0.1525 0.8473  0.32
6 Ni 0.8475 0.3475 0.1527  0.32
7 Ni 0.1525 0.6525 0.8473  0.32
8 Co 0.0000 0.0000 0.0000  1.67
9 V 0.8223 0.8223 0.6776  -0.06
10 V 0.1777 0.1777 0.3224  -0.06
11 Ge 0.6952 0.6952 0.3048  0.00
12 Ge 0.3048 0.3048 0.6952  0.00

Below is NaCa2Au2 after structural relaxation, with properties calculated at the PBE level.

Computed properties:
* symmetry: I4/mmm (139)
* total moment: 0.00 μB/f.u.
* polymorph energy (0 for the lowest one): 329 meV/atom
* crystal system: tetragonal
* V: 168.2 Å³ per cell
* calculated density: 4.91 g/cm3
* VASP energy: -13.401 eV/cell
* formation enthalpy at 0 K: -0.305 eV per atom

Cell lengths 4.9549, 4.9549, 7.6937 Å; angles 71.22, 71.22, 90.00 degrees
Sites, in units of the cell vectors:
1 Au 0.2500 0.7500 0.5000
2 Au 0.7500 0.2500 0.5000
3 Ca 0.6384 0.6384 0.7233
4 Ca 0.3616 0.3616 0.2767
5 Na 0.0000 0.0000 0.0000

Below is KMn2In after structural relaxation, with properties calculated at the PBE level.

Computed properties:
* symmetry: P4/mmm (123)
* total moment: 8.03 μB/f.u.
* crystal system: tetragonal
* V: 95.7 Å³ per cell
* calculated density: 4.58 g/cm3
* VASP energy: -18.751 eV/cell
* formation enthalpy at 0 K: 0.856 eV per atom

Cell lengths 4.2922, 4.7230, 4.7230 Å; angles 90.00, 90.00, 90.00 degrees
Last column: magnetic moment on the atom in μB.
Sites, in units of the cell vectors:
1 In 0.5000 0.5000 0.0000  -0.16
2 K 0.5000 0.0000 0.5000  -0.02
3 Mn 0.0000 0.5000 0.5000  3.97
4 Mn 0.0000 0.0000 0.0000  3.97

Below is Er2HfScS4 after structural relaxation, with properties calculated at the PBE level.

Computed properties:
* symmetry: P2/m (10)
* total moment: 0.00 μB/f.u.
* crystal system: monoclinic
* V: 150.6 Å³ per cell
* calculated density: 7.57 g/cm3
* uncorrected formation energy: -167 kJ per mole of atoms
* VASP energy: -55.728 eV/cell

Cell lengths 3.7696, 6.5219, 6.5069 Å; angles 109.71, 90.00, 90.00 degrees
Sites, in units of the cell vectors:
1 S 0.0000 0.2549 0.7638
2 S 0.5000 0.2461 0.2362
3 S 0.0000 0.7451 0.2362
4 S 0.5000 0.7539 0.7638
5 Er 0.0000 0.5000 0.5000
6 Er 0.5000 0.0000 0.5000
7 Sc 0.0000 0.0000 0.0000
8 Hf 0.5000 0.5000 0.0000